1.
! Sc4HgPd2 | the Alexandria database | PBE | relaxed; values from VASP
&SYSTEM
  ibrav = 0, nat = 7, ntyp = 3
/
ATOMIC_SPECIES
Sc 44.96 Sc.upf
Hg 200.59 Hg.upf
Pd 106.42 Pd.upf
CELL_PARAMETERS angstrom
2.3627 1.3641 7.5947
-2.3627 1.3641 7.5947
0.0000 -2.7282 7.5947
ATOMIC_POSITIONS angstrom
Sc 0.0000 0.0000 2.6308
Sc 0.0000 0.0000 8.4060
Sc 0.0000 0.0000 14.3782
Sc 0.0000 0.0000 20.1535
Hg 0.0000 0.0000 11.3921
Pd 0.0000 0.0000 5.6713
Pd 0.0000 0.0000 17.1129
! - space-group type = No. 166
! - crystal system = trigonal
! - energy of formation from the pure elements (eV per atom) = -0.559
! - DOS(E_F) (states/eV/f.u.) = 5.2

2.
! CsTi6O12 | the Alexandria database | PBE | relaxed; values from VASP
&SYSTEM
  ibrav = 0, nat = 38, ntyp = 3
/
ATOMIC_SPECIES
Cs 132.91 Cs.upf
Ti 47.87 Ti.upf
O 16.00 O.upf
CELL_PARAMETERS angstrom
-5.1999 5.1999 4.4755
5.1999 -5.1999 4.4755
5.1999 5.1999 -4.4755
ATOMIC_POSITIONS angstrom
Cs 0.0000 0.0000 1.8861
Cs 0.0000 0.0000 7.0649
Ti 3.4990 -1.5620 1.4809
Ti 3.6044 1.7547 0.0000
Ti 6.7619 -1.7009 2.9946
Ti 6.9008 1.5620 1.4809
Ti 3.4452 -1.5955 4.4755
Ti 3.6379 1.7009 2.9946
Ti 1.5620 3.4990 1.4809
Ti 1.7547 6.7955 0.0000
Ti -1.7009 3.6379 2.9946
Ti -1.5620 6.9008 1.4809
Ti 1.5955 3.4452 4.4755
Ti 1.7009 6.7619 2.9946
O 3.5463 3.0095 -1.4801
O 6.9447 -0.3916 1.5029
O 8.2310 1.6205 0.0000
O 4.8084 -1.7448 2.9726
O 5.5916 1.7119 0.0000
O 2.1904 -1.6536 2.9954
O 3.4551 0.3916 1.5029
O 1.6205 2.1688 0.0000
O 3.5463 3.0095 1.4801
O 1.7119 4.8082 0.0000
O 3.0095 6.8535 -1.4801
O -0.3916 3.4551 1.5029
O 5.5915 1.7448 2.9726
O 2.1904 -1.6536 5.9556
O 3.4880 0.3917 4.4755
O 1.6536 2.1904 2.9954
O 3.5794 3.0311 4.4755
O 1.7448 4.8084 2.9726
O 3.0095 6.8535 1.4801
O -0.3917 3.4880 4.4755
O 0.3916 6.9447 1.5029
O -3.0311 3.5794 4.4755
O -1.7448 5.5915 2.9726
O 1.6536 2.1904 5.9556
! - space-group type = No. 87
! - crystal system = tetragonal
! - DOS(E_F) (states/eV/f.u.) = 7.5
! - ΔE_f (raw) (eV/atom) = -2.9451
! - ΔE to the lowest computed polymorph (meV/atom) = 0.0